# 1
Entry from Alexandria via LeMat-Bulk: a relaxed structure of ZnInAs2 (PBEsol).

extended XYZ file:
```
4
Lattice="0.000 3.392 3.392 3.392 0.000 3.392 3.392 3.392 0.000" Properties=species:S:1:pos:R:3 pbc="T T T"
Zn 0.000 0.000 0.000
In 1.696 1.696 1.696
As 3.392 3.392 3.392
As 5.088 5.088 5.088
```

Output
M_tot: 0.0001 μB per atom
Formation enthalpy at 0 K: 0.255 eV per atom
N(E_F): 0.447 states/eV per atom


# 2
Entry from Alexandria via LeMat-Bulk: a relaxed structure of Cd2CoPtI (PBEsol).

extended XYZ file:
```
5
Lattice="5.030 0.000 0.000 0.000 5.030 0.000 0.000 0.000 4.438" Properties=species:S:1:pos:R:3 pbc="T T T"
Cd 0.000 2.515 0.000
Cd 2.515 0.000 0.000
Co 0.000 0.000 0.000
Pt 0.000 0.000 2.219
I 2.515 2.515 2.219
```

Output
M_tot: 0.0000 μB per atom
Raw formation energy: 580 meV/atom
N(E_F): 0.839 states/eV per atom


# 3
Entry from Alexandria via LeMat-Bulk: a relaxed structure of MgIrRh2 (PBEsol).

extended XYZ file:
```
4
Lattice="2.741 0.000 0.000 0.000 2.741 0.000 0.000 0.000 7.660" Properties=species:S:1:pos:R:3 pbc="T T T"
Mg 0.000 0.000 0.000
Ir 0.000 0.000 3.830
Rh 1.370 1.370 2.015
Rh 1.370 1.370 5.645
```

Output
M_tot: 0.0001 μB per atom
Formation enthalpy at 0 K: -0.158 eV per atom
N(E_F): 0.950 states/eV per atom


# 4
Entry from Alexandria via LeMat-Bulk: a relaxed structure of Sc2Mo3O12 (PBEsol).

extended XYZ file:
```
68
Lattice="13.366 0.000 0.000 0.000 9.577 0.000 0.000 0.000 9.681" Properties=species:S:1:pos:R:3 pbc="T T T"
Sc 1.582 2.389 0.325
Sc 1.582 7.188 5.165
Sc 5.101 2.399 5.165
Sc 5.101 7.178 0.325
Sc 8.265 2.399 9.355
Sc 8.265 7.178 4.515
Sc 11.783 2.389 4.515
Sc 11.783 7.188 9.355
Mo 0.000 0.248 7.260
Mo 0.000 9.329 2.420
Mo 1.925 3.768 3.713
Mo 1.925 5.809 8.553
Mo 4.758 1.021 8.553
Mo 4.758 8.557 3.713
Mo 6.683 4.540 2.420
Mo 6.683 5.037 7.260
Mo 8.608 1.021 5.968
Mo 8.608 8.557 1.127
Mo 11.441 3.768 1.127
Mo 11.441 5.809 5.968
O 0.382 3.063 4.162
O 0.382 6.515 9.002
O 0.837 1.262 8.427
O 0.837 8.315 3.586
O 1.173 0.773 1.597
O 1.173 8.804 6.438
O 1.873 4.070 8.821
O 1.873 5.507 3.981
O 2.220 3.453 2.006
O 2.220 6.124 6.846
O 3.202 3.057 4.697
O 3.202 6.520 9.537
O 3.481 1.731 9.537
O 3.481 7.846 4.697
O 4.463 1.335 6.846
O 4.463 8.242 2.006
O 4.810 0.718 3.981
O 4.810 8.859 8.821
O 5.509 4.016 6.438
O 5.509 5.562 1.597
O 5.846 3.526 3.586
O 5.846 6.051 8.427
O 6.300 1.726 9.002
O 6.300 7.852 4.162
O 7.065 1.726 5.518
O 7.065 7.852 0.678
O 7.520 3.526 1.254
O 7.520 6.051 6.094
O 7.856 4.016 8.083
O 7.856 5.562 3.243
O 8.555 0.718 0.860
O 8.555 8.859 5.700
O 8.903 1.335 7.675
O 8.903 8.242 2.834
O 9.884 1.731 4.984
O 9.884 7.846 0.143
O 10.164 3.057 0.143
O 10.164 6.520 4.984
O 11.145 3.453 2.834
O 11.145 6.124 7.675
O 11.493 4.070 5.700
O 11.493 5.507 0.860
O 12.192 0.773 3.243
O 12.192 8.804 8.083
O 12.528 1.262 6.094
O 12.528 8.315 1.254
O 12.983 3.063 0.678
O 12.983 6.515 5.518
```

Output
M_tot: 0.0000 μB per atom
Raw formation energy: -2495 meV/atom
N(E_F): 0.000 states/eV per atom


# 5
Entry from Alexandria via LeMat-Bulk: a relaxed structure of SrAs2Pt (PBEsol).

extended XYZ file:
```
4
Lattice="2.029 1.171 6.004 -2.029 1.171 6.004 0.000 -2.343 6.004" Properties=species:S:1:pos:R:3 pbc="T T T"
Sr 0.000 0.000 0.000
As 0.000 0.000 4.043
As 0.000 0.000 13.968
Pt 0.000 0.000 9.006
```

Output
M_tot: 0.0000 μB per atom
Formation enthalpy at 0 K: -0.767 eV per atom
N(E_F): 0.120 states/eV per atom


# 6
Entry from Alexandria via LeMat-Bulk: a relaxed structure of SrCoIr2 (PBEsol).

extended XYZ file:
```
4
Lattice="2.784 -4.184 0.000 2.784 4.184 0.000 0.000 0.000 2.758" Properties=species:S:1:pos:R:3 pbc="T T T"
Sr 0.000 0.000 0.000
Co 2.784 0.000 0.000
Ir 1.392 2.092 1.379
Ir 1.392 -2.092 1.379
```

Output
M_tot: 0.3060 μB per atom
Formation enthalpy at 0 K: 0.644 eV per atom
Energy above the most stable polymorph in this dataset: 0.630 eV per atom
N(E_F): 1.294 states/eV per atom


# 7
Entry from Alexandria via LeMat-Bulk: a relaxed structure of LaPdPb3 (PBEsol).

extended XYZ file:
```
5
Lattice="5.906 0.000 0.000 0.000 5.906 0.000 0.000 0.000 5.906" Properties=species:S:1:pos:R:3 pbc="T T T"
La 0.000 0.000 0.000
Pd 2.953 2.953 2.953
Pb 0.000 0.000 2.953
Pb 0.000 2.953 0.000
Pb 2.953 0.000 0.000
```

Output
M_tot: 0.0000 μB per atom
Formation enthalpy at 0 K: 1.141 eV per atom
N(E_F): 0.878 states/eV per atom


# 8
Entry from Alexandria via LeMat-Bulk: a relaxed structure of TaFeCoRu2 (PBEsol).

extended XYZ file:
```
5
Lattice="4.603 0.000 0.000 0.000 4.603 0.000 0.000 0.000 4.357" Properties=species:S:1:pos:R:3 pbc="T T T"
Ta 0.000 0.000 0.000
Fe 2.301 2.301 2.178
Co 0.000 0.000 2.178
Ru 0.000 2.301 0.000
Ru 2.301 0.000 0.000
```

Output
M_tot: 1.1089 μB per atom
Formation enthalpy at 0 K: 1.796 eV per atom
N(E_F): 0.817 states/eV per atom


# 9
Entry from Alexandria via LeMat-Bulk: a relaxed structure of CuOsBr2 (PBEsol).

extended XYZ file:
```
4
Lattice="3.056 0.000 0.000 0.000 4.075 0.000 0.000 0.000 6.017" Properties=species:S:1:pos:R:3 pbc="T T T"
Cu 0.000 0.000 0.000
Os 1.528 0.000 3.009
Br 0.000 2.038 3.009
Br 1.528 2.038 0.000
```

Output
M_tot: 0.3719 μB per atom
Raw formation energy: 1092 meV/atom
Energy above the most stable polymorph in this dataset: 0.417 eV per atom
N(E_F): 0.898 states/eV per atom


# 10
Entry from Alexandria via LeMat-Bulk: a relaxed structure of LaGaTe3 (PBEsol).

extended XYZ file:
```
5
Lattice="6.057 0.000 0.000 0.000 6.057 0.000 0.000 0.000 6.057" Properties=species:S:1:pos:R:3 pbc="T T T"
La 0.000 0.000 0.000
Ga 3.028 3.028 3.028
Te 0.000 0.000 3.028
Te 0.000 3.028 0.000
Te 3.028 0.000 0.000
```

Output
M_tot: 0.0000 μB per atom
Raw formation energy: -96 meV/atom
N(E_F): 1.509 states/eV per atom


# 11
Entry from Alexandria via LeMat-Bulk: a relaxed structure of NaNiBr3 (PBEsol).

extended XYZ file:
```
5
Lattice="4.904 0.000 0.000 0.000 4.904 0.000 0.000 0.000 4.904" Properties=species:S:1:pos:R:3 pbc="T T T"
Na 0.000 0.000 0.000
Ni 2.452 2.452 2.452
Br 0.000 2.452 2.452
Br 2.452 0.000 2.452
Br 2.452 2.452 0.000
```

Output
M_tot: 0.0000 μB per atom
Raw formation energy: -679 meV/atom
N(E_F): 0.267 states/eV per atom


# 12
Entry from Alexandria via LeMat-Bulk: a relaxed structure of FeWAu2 (PBEsol).

extended XYZ file:
```
4
Lattice="2.754 0.000 0.000 0.000 2.754 0.000 0.000 0.000 7.926" Properties=species:S:1:pos:R:3 pbc="T T T"
Fe 0.000 0.000 0.000
W 1.377 1.377 1.729
Au 0.000 0.000 3.826
Au 1.377 1.377 6.060
```

Output
M_tot: 0.4380 μB per atom
Formation enthalpy at 0 K: 0.219 eV per atom
Energy above the most stable polymorph in this dataset: 0.000 eV per atom
N(E_F): 1.043 states/eV per atom


The lowest N(E_F) belongs to which entry? Sc2Mo3O12


Repeat the twelfth record exactly.
Entry from Alexandria via LeMat-Bulk: a relaxed structure of FeWAu2 (PBEsol).

extended XYZ file:
```
4
Lattice="2.754 0.000 0.000 0.000 2.754 0.000 0.000 0.000 7.926" Properties=species:S:1:pos:R:3 pbc="T T T"
Fe 0.000 0.000 0.000
W 1.377 1.377 1.729
Au 0.000 0.000 3.826
Au 1.377 1.377 6.060
```

Output
M_tot: 0.4380 μB per atom
Formation enthalpy at 0 K: 0.219 eV per atom
Energy above the most stable polymorph in this dataset: 0.000 eV per atom
N(E_F): 1.043 states/eV per atom


Among the records above, which one has the lowest N(E_F)? Sc2Mo3O12


Which of these has the highest M_tot? TaFeCoRu2